Entry 1:
{
  "formula": "KLa2MoO6",
  "functional": "GGA+U",
  "state": "relaxed",
  "rho_g_cm3": 5.1,
  "final_energy_ev_per_fu": -73.846,
  "spacegroup": "P2_1/c (14)",
  "cell": [[-0.286, 5.442, 1.810], [-3.051, -1.856, 5.098], [8.019, -1.032, 4.424]],
  "species": ["K", "K", "La", "La", "La", "La", "Mo", "Mo", "O", "O", "O", "O", "O", "O", "O", "O", "O", "O", "O", "O"],
  "fractional_positions": [[0.500, 0.000, 0.000], [0.000, 0.500, 0.500], [0.001, 0.996, 0.282], [0.501, 0.504, 0.782], [0.999, 0.004, 0.718], [0.499, 0.496, 0.218], [0.500, 0.000, 0.500], [0.000, 0.500, 0.000], [0.293, 0.651, 0.003], [0.793, 0.849, 0.503], [0.707, 0.349, 0.997], [0.207, 0.151, 0.497], [0.353, 0.797, 0.346], [0.853, 0.703, 0.846], [0.647, 0.203, 0.654], [0.147, 0.297, 0.154], [0.854, 0.688, 0.162], [0.354, 0.812, 0.662], [0.146, 0.312, 0.838], [0.646, 0.188, 0.338]]
}


Entry 2:
{
  "formula": "K3La3MoO8",
  "functional": "GGA+U",
  "state": "relaxed",
  "rho_g_cm3": 4.5,
  "final_energy_ev_per_fu": -102.068,
  "spacegroup": "C2/m (12)",
  "cell": [[-4.289, -5.731, 0.377], [7.082, -0.738, 1.195], [-4.177, 3.469, 5.214]],
  "species": ["K", "K", "K", "La", "La", "La", "Mo", "O", "O", "O", "O", "O", "O", "O", "O"],
  "fractional_positions": [[0.000, 0.000, 0.000], [0.000, 0.500, 0.000], [0.500, 0.500, 0.000], [0.500, 0.000, 0.500], [0.500, 0.500, 0.500], [0.000, 0.500, 0.500], [0.000, 0.000, 0.500], [0.271, 0.543, 0.309], [0.729, 0.457, 0.691], [0.789, 0.578, 0.324], [0.211, 0.422, 0.676], [0.797, 0.029, 0.326], [0.203, 0.971, 0.674], [0.233, 0.029, 0.326], [0.767, 0.971, 0.674]]
}